1.
First-principles (PBEsol) data for TaCoRe2 after structural relaxation, as listed in Alexandria.

Cell lengths 2.664, 4.367, 5.024 Å; angles 90.00, 98.97, 90.00 degrees
Element x y z (fractional)
Co 0.000 0.500 0.500
Re 0.750 0.000 0.741
Re 0.250 0.000 0.259
Ta 0.500 0.500 0.000

Summary:
* excess energy over the best structure of this formula in the dataset: 2.70 kcal/mol of atoms
* E_tot: -11.650 eV/atom


2.
First-principles (PBEsol) data for Ta5Mo3 after structural relaxation, as listed in Alexandria.

Cell lengths 3.203, 3.203, 12.982 Å; angles 90.00, 90.00, 90.00 degrees
Element x y z (fractional)
Mo 0.500 0.500 0.992
Mo 0.000 0.000 0.877
Mo 0.000 0.000 0.629
Ta 0.500 0.500 0.751
Ta 0.500 0.500 0.509
Ta 0.000 0.000 0.376
Ta 0.500 0.500 0.247
Ta 0.000 0.000 0.117

Summary:
* excess energy over the best structure of this formula in the dataset: 0.51 kcal/mol of atoms
* E_tot: -12.367 eV/atom


3.
First-principles (PBEsol) data for Hf2TiZnN after structural relaxation, as listed in Alexandria.

Cell lengths 4.038, 4.359, 4.359 Å; angles 90.00, 90.00, 90.00 degrees
Element x y z (fractional)
Zn 0.500 0.500 0.500
Ti 0.500 0.000 0.000
Hf 0.000 0.000 0.500
Hf 0.000 0.500 0.000
N 0.000 0.000 0.000

Summary:
* E_tot: -8.799 eV/atom
* ΔE_f (raw): -88.0 kJ/mol of atoms


4.
First-principles (PBEsol) data for ZrFeSbTe2 after structural relaxation, as listed in Alexandria.

Cell lengths 4.662, 5.037, 5.037 Å; angles 90.00, 90.00, 90.00 degrees
Element x y z (fractional)
Sb 0.500 0.000 0.000
Te 0.000 0.000 0.500
Te 0.000 0.500 0.000
Fe 0.000 0.000 0.000
Zr 0.500 0.500 0.500

Summary:
* E_tot: -5.547 eV/atom
* ΔE_f (raw): 37.2 kJ/mol of atoms


5.
First-principles (PBEsol) data for TcPbBr2 after structural relaxation, as listed in Alexandria.

Cell lengths 3.238, 4.850, 7.057 Å; angles 109.96, 103.26, 90.00 degrees
Element x y z (fractional)
Pb 0.500 0.000 0.000
Tc 0.000 0.500 0.000
Br 0.659 0.659 0.317
Br 0.341 0.341 0.683

Summary:
* excess energy over the best structure of this formula in the dataset: 0.00 kcal/mol of atoms
* E_tot: -4.627 eV/atom
* ΔE_f (raw): 11.9 kJ/mol of atoms


6.
First-principles (PBEsol) data for KErS2 after structural relaxation, as listed in Alexandria.

Cell lengths 3.952, 3.952, 7.598 Å; angles 74.93, 74.93, 60.00 degrees
Element x y z (fractional)
K 0.500 0.500 0.500
S 0.734 0.734 0.798
S 0.266 0.266 0.202
Er 0.000 0.000 0.000

Summary:
* E_tot: -5.623 eV/atom
* ΔE_f (raw): -184.8 kJ/mol of atoms


7.
First-principles (PBEsol) data for HfGeSe after structural relaxation, as listed in Alexandria.

Cell lengths 3.673, 3.673, 8.112 Å; angles 90.00, 90.00, 90.00 degrees
Element x y z (fractional)
Ge 0.000 0.000 0.000
Ge 0.500 0.500 0.000
Hf 0.000 0.500 0.737
Hf 0.500 0.000 0.263
Se 0.500 0.000 0.619
Se 0.000 0.500 0.381

Summary:
* E_tot: -7.457 eV/atom
* ΔE_f (raw): -99.0 kJ/mol of atoms


8.
First-principles (PBEsol) data for LaTaFe after structural relaxation, as listed in Alexandria.

Cell lengths 4.352, 4.352, 4.352 Å; angles 60.00, 60.00, 60.00 degrees
Element x y z (fractional)
Fe 0.500 0.500 0.500
La 0.250 0.250 0.250
Ta 0.000 0.000 0.000

Summary:
* E_tot: -7.348 eV/atom


9.
First-principles (PBEsol) data for ScTa2Co after structural relaxation, as listed in Alexandria.

Cell lengths 3.795, 3.795, 5.304 Å; angles 110.96, 110.96, 90.00 degrees
Element x y z (fractional)
Co 0.500 0.500 0.000
Sc 0.000 0.000 0.000
Ta 0.750 0.250 0.500
Ta 0.250 0.750 0.500

Summary:
* excess energy over the best structure of this formula in the dataset: 1.73 kcal/mol of atoms
* E_tot: -9.694 eV/atom


10.
First-principles (PBEsol) data for CsNb3Sb after structural relaxation, as listed in Alexandria.

Cell lengths 4.999, 4.999, 4.999 Å; angles 90.00, 90.00, 90.00 degrees
Element x y z (fractional)
Cs 0.000 0.000 0.000
Sb 0.500 0.500 0.500
Nb 0.000 0.500 0.000
Nb 0.000 0.000 0.500
Nb 0.500 0.000 0.000

Summary:
* E_tot: -5.130 eV/atom
* ΔE_f (raw): 237.6 kJ/mol of atoms


11.
First-principles (PBEsol) data for HfFeCo2Ir after structural relaxation, as listed in Alexandria.

Cell lengths 4.388, 4.388, 4.447 Å; angles 90.00, 90.00, 90.00 degrees
Element x y z (fractional)
Co 0.000 0.500 0.000
Co 0.500 0.000 0.000
Ir 0.000 0.000 0.000
Hf 0.500 0.500 0.500
Fe 0.000 0.000 0.500

Summary:
* E_tot: -7.841 eV/atom


12.
First-principles (PBEsol) data for ReSnPS2 after structural relaxation, as listed in Alexandria.

Cell lengths 4.803, 4.803, 4.988 Å; angles 90.00, 90.00, 90.00 degrees
Element x y z (fractional)
Re 0.500 0.500 0.500
S 0.000 0.500 0.000
S 0.500 0.000 0.000
Sn 0.000 0.000 0.000
P 0.000 0.000 0.500

Summary:
* E_tot: -4.762 eV/atom
* ΔE_f (raw): 161.0 kJ/mol of atoms


13.
First-principles (PBEsol) data for YB4Ru after structural relaxation, as listed in Alexandria.

Cell lengths 3.507, 5.928, 11.467 Å; angles 90.00, 90.00, 90.00 degrees
Element x y z (fractional)
Y 0.000 0.629 0.350
Y 0.000 0.371 0.650
Y 0.000 0.129 0.150
Y 0.000 0.871 0.850
B 0.500 0.788 0.185
B 0.500 0.212 0.815
B 0.500 0.288 0.315
B 0.500 0.712 0.685
B 0.500 0.864 0.031
B 0.500 0.136 0.969
B 0.500 0.364 0.469
B 0.500 0.636 0.531
B 0.500 0.888 0.453
B 0.500 0.112 0.547
B 0.500 0.388 0.047
B 0.500 0.612 0.953
B 0.500 0.976 0.308
B 0.500 0.024 0.692
B 0.500 0.476 0.192
B 0.500 0.524 0.808
Ru 0.000 0.639 0.092
Ru 0.000 0.361 0.908
Ru 0.000 0.139 0.408
Ru 0.000 0.861 0.592

Summary:
* E_tot: -8.202 eV/atom


14.
First-principles (PBEsol) data for CuAu after structural relaxation, as listed in Alexandria.

Cell lengths 2.821, 4.637, 5.021 Å; angles 106.25, 106.32, 90.00 degrees
Element x y z (fractional)
Au 0.112 0.324 0.224
Au 0.888 0.676 0.776
Cu 0.640 0.843 0.280
Cu 0.360 0.157 0.720

Summary:
* E_tot: -4.168 eV/atom


15.
First-principles (PBEsol) data for InGa2Ir2 after structural relaxation, as listed in Alexandria.

Cell lengths 2.936, 7.322, 7.322 Å; angles 90.00, 90.00, 90.00 degrees
Element x y z (fractional)
Ir 0.000 0.350 0.850
Ir 0.000 0.850 0.650
Ir 0.000 0.650 0.150
Ir 0.000 0.150 0.350
Ga 0.500 0.146 0.646
Ga 0.500 0.646 0.854
Ga 0.500 0.854 0.354
Ga 0.500 0.354 0.146
In 0.000 0.000 0.000
In 0.000 0.500 0.500

Summary:
* excess energy over the best structure of this formula in the dataset: 0.00 kcal/mol of atoms
* E_tot: -6.173 eV/atom


16.
First-principles (PBEsol) data for Te2PO after structural relaxation, as listed in Alexandria.

Cell lengths 3.104, 3.104, 9.150 Å; angles 80.23, 80.23, 60.00 degrees
Element x y z (fractional)
P 0.000 0.000 0.000
Te 0.900 0.900 0.299
Te 0.100 0.100 0.701
O 0.500 0.500 0.500

Summary:
* excess energy over the best structure of this formula in the dataset: 5.97 kcal/mol of atoms
* E_tot: -4.197 eV/atom
* ΔE_f (raw): 31.4 kJ/mol of atoms


17.
First-principles (PBEsol) data for Na2SnH6O6 after structural relaxation, as listed in Alexandria.

Cell lengths 5.361, 5.361, 5.361 Å; angles 74.03, 74.03, 74.03 degrees
Element x y z (fractional)
Na 0.685 0.685 0.685
Na 0.315 0.315 0.315
Sn 0.000 0.000 0.000
O 0.209 0.293 0.793
O 0.793 0.209 0.293
O 0.293 0.793 0.209
O 0.791 0.707 0.207
O 0.207 0.791 0.707
O 0.707 0.207 0.791
H 0.235 0.811 0.402
H 0.402 0.235 0.811
H 0.811 0.402 0.235
H 0.765 0.189 0.598
H 0.598 0.765 0.189
H 0.189 0.598 0.765

Summary:
* E_tot: -5.230 eV/atom


18.
First-principles (PBEsol) data for YMoPb2 after structural relaxation, as listed in Alexandria.

Cell lengths 3.367, 3.367, 9.671 Å; angles 79.98, 79.98, 60.00 degrees
Element x y z (fractional)
Mo 0.000 0.000 0.000
Pb 0.260 0.260 0.221
Pb 0.740 0.740 0.779
Y 0.500 0.500 0.500

Summary:
* excess energy over the best structure of this formula in the dataset: 2.90 kcal/mol of atoms
* E_tot: -6.357 eV/atom


19.
First-principles (PBEsol) data for K3InGe after structural relaxation, as listed in Alexandria.

Cell lengths 6.365, 6.365, 6.365 Å; angles 90.00, 90.00, 90.00 degrees
Element x y z (fractional)
Ge 0.000 0.000 0.000
K 0.000 0.500 0.000
K 0.000 0.000 0.500
K 0.500 0.000 0.000
In 0.500 0.500 0.500

Summary:
* E_tot: -1.870 eV/atom


20.
First-principles (PBEsol) data for SrBeN2 after structural relaxation, as listed in Alexandria.

Cell lengths 3.865, 3.865, 6.060 Å; angles 71.40, 71.40, 60.00 degrees
Element x y z (fractional)
Sr 0.500 0.500 0.500
N 0.910 0.910 0.271
N 0.090 0.090 0.729
Be 0.000 0.000 0.000

Summary:
* E_tot: -5.605 eV/atom
* ΔE_f (raw): 11.4 kJ/mol of atoms